Compound: ReW2Br
Source: Alexandria
Functional: GGA-PBE
Structure: relaxed

POSCAR file:
```
ReW2Br
1.0
-2.746 -0.157 0.785
0.774 -2.085 -1.798
2.349 -5.293 7.152
Re Br W
1 1 2
direct
0.500 0.500 0.776
0.000 0.000 0.487
0.000 0.000 0.000
0.500 0.500 0.236
```

Results
The calculation puts the formation energy without anion corrections at 780 meV per atom. The value obtained for the density of states at the Fermi level is 2.417 states/eV per cell. The density comes out at 15.2 g cm⁻³.